A geometry-optimized ZnBF2 structure. Source: Alexandria via LeMat-Bulk, functional GGA-PBE. Values from VASP.

The structure in Quantum ESPRESSO input format:
```
&SYSTEM
  ibrav = 0, nat = 12, ntyp = 3
/
ATOMIC_SPECIES
Zn 65.41 Zn.upf
B 10.81 B.upf
F 19.00 F.upf
CELL_PARAMETERS angstrom
2.6815 0.0000 0.0000
-1.3407 2.3222 0.0000
0.0000 0.0000 26.3680
ATOMIC_POSITIONS crystal
Zn 0.0000 0.0000 0.0000
Zn 0.3333 0.6667 0.6667
Zn 0.6667 0.3333 0.3333
B 0.0000 0.0000 0.5000
B 0.3333 0.6667 0.1667
B 0.6667 0.3333 0.8333
F 0.0000 0.0000 0.4486
F 0.0000 0.0000 0.5514
F 0.3333 0.6667 0.1152
F 0.3333 0.6667 0.2181
F 0.6667 0.3333 0.7819
F 0.6667 0.3333 0.8848
```

Results
Energy relative to the lowest polymorph listed for this composition   0 meV per atom
Energy relative to the elements, uncorrected   -925 meV per atom
N(E_F)   1.1 states/eV/f.u.
Total DFT energy (no corrections)   -0.1414 Ha/atom